Compound: Pd3PtW
Source: the Alexandria database
Functional: GGA-PBE
Structure: optimized geometry

Unit cell a=9.3767 b=2.7414 c=6.5811 alpha=90.00 beta=90.00 gamma=90.00
Space group Pmma (No. 51)
Symmetry-distinct sites (fractional):
Pd: 0.0000 0.0000 0.0000 x2
Pd: 0.1090 0.0000 0.3811 x4
Pt: 0.2500 0.0000 0.7445 x2
W: 0.2500 0.5000 0.0884 x2

Properties
Density of states at the Fermi level   3.76 states/eV/f.u.
Mass density   13.71 g/cm³
DFT formation energy   0.14 eV/atom
Total DFT energy (no corrections)   -67.7 eV for the cell shown



Compound: ScGeIO2
Source: the Alexandria database
Functional: GGA-PBE
Structure: optimized geometry

Unit cell a=3.9958 b=3.9958 c=5.6434 alpha=90.00 beta=90.00 gamma=90.00
Space group P4/mmm (No. 123)
Symmetry-distinct sites (fractional):
Sc: 0.0000 0.0000 0.0000 x1
Ge: 0.5000 0.5000 0.5000 x1
I: 0.5000 0.5000 0.0000 x1
O: 0.0000 0.5000 0.5000 x2

Properties
Density of states at the Fermi level   3.10 states/eV/f.u.
Mass density   5.10 g/cm³
Total DFT energy (no corrections)   -25.0 eV for the cell shown
Raw formation energy   -2.55 eV per formula unit



Compound: MgZr2Cd
Source: the Alexandria database
Functional: GGA-PBE
Structure: optimized geometry

Unit cell a=3.1998 b=5.3583 c=10.3149 alpha=90.00 beta=90.00 gamma=90.00
Space group Imm2 (No. 44)
Symmetry-distinct sites (fractional):
Mg: 0.0000 0.0000 0.0000 x2
Zr: 0.0000 0.0000 0.4861 x2
Zr: 0.0000 0.5000 0.2358 x2
Cd: 0.0000 0.5000 0.7304 x2

Properties
Density of states at the Fermi level   3.60 states/eV/f.u.
Mass density   5.99 g/cm³
DFT formation energy   -0.02 eV/atom
Total DFT energy (no corrections)   -39.4 eV for the cell shown



Compound: CuIr2Se
Source: the Alexandria database
Functional: GGA-PBE
Structure: optimized geometry

Unit cell a=2.7402 b=4.8758 c=9.1633 alpha=90.00 beta=90.00 gamma=90.00
Space group Cmm2 (No. 35)
Symmetry-distinct sites (fractional):
Cu: 0.0000 0.0000 0.0000 x2
Ir: 0.0000 0.0000 0.4855 x2
Ir: 0.0000 0.5000 0.2385 x2
Se: 0.0000 0.5000 0.7481 x2

Properties
Density of states at the Fermi level   3.46 states/eV/f.u.
Mass density   14.29 g/cm³
Total DFT energy (no corrections)   -47.0 eV for the cell shown
Raw formation energy   1.78 eV per formula unit



Compound: ScNbAs2
Source: the Alexandria database
Functional: GGA-PBE
Structure: optimized geometry

Unit cell a=5.9703 b=5.9703 c=11.8948 alpha=90.00 beta=90.00 gamma=90.00
Space group I-42d (No. 122)
Symmetry-distinct sites (fractional):
Sc: 0.0000 0.0000 0.0000 x4
Nb: 0.0000 0.0000 0.5000 x4
As: 0.2320 0.2500 0.6250 x8

Properties
Density of states at the Fermi level   3.59 states/eV/f.u.
Mass density   4.51 g/cm³
DFT formation energy   -0.27 eV/atom
Total DFT energy (no corrections)   -107.1 eV for the cell shown



Compound: Mg4Si3
Source: the Alexandria database
Functional: GGA-PBE
Structure: optimized geometry

Unit cell a=5.5741 b=7.1986 c=7.4997 alpha=108.19 beta=95.13 gamma=106.84
Space group P1 (No. 1)
Symmetry-distinct sites (fractional):
Mg: 0.0000 0.0000 0.0000 x1
Mg: 0.0106 0.3937 0.3875 x1
Mg: 0.0420 0.1596 0.6576 x1
Mg: 0.1873 0.8248 0.3072 x1
Mg: 0.4110 0.7012 0.9150 x1
Mg: 0.5457 0.1334 0.8241 x1
Mg: 0.5853 0.4959 0.1563 x1
Mg: 0.6009 0.7410 0.5643 x1
Si: 0.0462 0.4249 0.0179 x1
Si: 0.1259 0.7887 0.6565 x1
Si: 0.4608 0.3225 0.5189 x1
Si: 0.5015 0.1199 0.2021 x1
Si: 0.7413 0.9253 0.2975 x1
Si: 0.8279 0.5359 0.7790 x1

Properties
Density of states at the Fermi level   1.98 states/eV/f.u.
Mass density   2.25 g/cm³
Total DFT energy (no corrections)   -45.0 eV for the cell shown
Raw formation energy   0.16 eV per formula unit